<one>
A relaxed structure of RbMnSi. Source: Alexandria, functional GGA-PBE.

abc: 3.9098 3.9118 12.3117
angles: 81.05 88.58 60.02
With the nearest neighbours (Å) after each atom.
Fractional coordinates of all 6 atoms:
Rb 0.0989 0.3497 0.1951  3 Si 3.35
Rb 0.9011 0.6503 0.8049  3 Si 3.35
Mn 0.1699 0.1579 0.5144  3 Mn 2.28-2.29, 3 Si 2.49
Mn 0.8301 0.8421 0.4856  3 Mn 2.28-2.29, 3 Si 2.49
Si 0.4776 0.5606 0.3991  1 Si 2.45, 6 Mn 2.49-2.66
Si 0.5224 0.4394 0.6009  1 Si 2.45, 6 Mn 2.49-2.66

Calculated values
As for the total magnetization: 0.01 μB/cell. The calculation puts the density of states at the Fermi level at 2.226 states/eV/f.u. Its space group is No. 2.

***

<two>
A relaxed structure of RbMnSi. Source: Alexandria, functional GGA-PBE.

abc: 6.2176 6.2176 6.7481
angles: 116.06 116.06 65.97
With the nearest neighbours (Å) after each atom.
Fractional coordinates of all 6 atoms:
Rb 0.0000 0.0000 0.0000  6 Si 3.60-3.98, 4 Mn 3.67-4.00, 1 Rb 3.85
Rb 0.2503 0.2503 0.7361  2 Mn 3.53-3.80, 2 Si 3.62, 1 Rb 3.85
Mn 0.4109 0.4109 0.3882  2 Si 2.28
Mn 0.6468 0.6468 0.3466  2 Si 2.50, 1 Mn 2.62
Si 0.0350 0.6972 0.3659  2 Mn 2.28-2.50, 1 Si 2.29
Si 0.6972 0.0350 0.3659  2 Mn 2.28-2.50, 1 Si 2.29

Calculated values
As for the total magnetization: 7.53 μB/cell. The calculation puts the density of states at the Fermi level at 1.456 states/eV/f.u. Its space group is No. 8.

***

<three>
A relaxed structure of RbMnSi. Source: Alexandria, functional GGA-PBE.

abc: 3.5182 4.2868 12.1417
angles: 89.66 86.17 69.96
With the nearest neighbours (Å) after each atom.
Fractional coordinates of all 6 atoms:
Rb 0.0501 0.2359 0.1915  2 Mn 3.44-3.81, 3 Si 3.48-3.74, 2 Rb 3.52
Rb 0.9499 0.7641 0.8085  2 Mn 3.44-3.81, 3 Si 3.48-3.74, 2 Rb 3.52
Mn 0.3097 0.9761 0.5593  1 Mn 1.96
Mn 0.6903 0.0239 0.4407  1 Mn 1.96
Si 0.3351 0.6020 0.4121  4 Mn 2.37-2.56, 1 Si 2.51
Si 0.6649 0.3980 0.5879  4 Mn 2.37-2.56, 1 Si 2.51

Calculated values
As for the total magnetization: 0.14 μB/cell. The calculation puts the density of states at the Fermi level at 2.444 states/eV/f.u. Its space group is No. 2.

***

Energy ordering: <one> at the bottom, the next structure 164 meV/atom above.